# Pm4Nd5Ho2 PBE optimized geometry
# total magnetic moment: 0.0000 μB/atom
# N(E_F): 17.05 states/eV/f.u.
# ΔH_f (0 K): 86 meV per atom
# ΔE to the lowest computed polymorph: 0 meV per atom
data_Pm4Nd5Ho2
_cell_length_a 9.0116
_cell_length_b 3.5524
_cell_length_c 11.8793
_cell_angle_alpha 90.00
_cell_angle_beta 94.38
_cell_angle_gamma 90.00
_space_group_name_H-M_alt 'P 1 2/m 1'
_space_group_IT_number 10
loop_
_space_group_symop_operation_xyz
'x,y,z'
'-x,-y,-z'
'-x,y,-z'
'x,-y,z'
loop_
_atom_site_label
_atom_site_type_symbol
_atom_site_fract_x
_atom_site_fract_y
_atom_site_fract_z
Pm1 Pm 0.1566 0.0000 0.3909
Pm2 Pm 0.2853 0.0000 0.9500
Nd1 Nd 0.1956 0.5000 0.6679
Nd2 Nd 0.4276 0.5000 0.2064
Nd3 Nd 0.5000 0.5000 0.5000
Ho1 Ho 0.0564 0.5000 0.1350